[1]
Compound: CeZn2Hg
Source: the Alexandria database
Functional: PBE
Structure: relaxed

Output
volume = 171 Å³ per cell
ΔE_f = -0.2489 eV per atom
distance to the lowest polymorph of the same formula = 0.0000 eV per atom

The structure in POSCAR format:
```
CeZn2Hg
1.0
6.892 0.000 0.000
0.000 2.327 5.322
0.000 -2.327 5.322
Ce Zn Hg
2 4 2
Cartesian
0.000 0.000 0.000
3.446 0.000 2.039
0.000 0.000 3.289
2.148 0.000 4.956
3.446 0.000 9.597
4.744 0.000 4.956
1.419 0.000 7.601
5.473 0.000 7.601
```

=====

[2]
Compound: Ce2Zn4Hg3
Source: the Alexandria database
Functional: PBE
Structure: relaxed

Output
volume = 393 Å³ per cell
ΔE_f = -0.1690 eV per atom

The structure in POSCAR format:
```
Ce2Zn4Hg3
1.0
3.112 -8.008 0.000
3.112 8.008 0.000
0.000 0.000 7.890
Ce Zn Hg
4 8 6
Cartesian
3.112 6.292 7.167
3.112 1.716 3.222
3.112 -1.716 4.668
3.112 -6.292 0.723
3.112 5.263 4.103
1.556 0.953 5.917
1.556 -0.953 1.972
3.112 2.745 0.158
3.112 -2.745 7.732
4.669 0.953 5.917
4.669 -0.953 1.972
3.112 -5.263 3.787
0.000 0.000 3.945
1.556 3.698 5.917
1.556 -3.698 1.972
3.112 0.000 0.000
4.669 3.698 5.917
4.669 -3.698 1.972
```

=====

[3]
Compound: CeZr2Hg
Source: the Alexandria database
Functional: PBE
Structure: relaxed

Output
volume = 92 Å³ per cell
ΔE_f = -0.0059 eV per atom
distance to the lowest polymorph of the same formula = 0.0448 eV per atom

The structure in POSCAR format:
```
CeZr2Hg
1.0
3.611 0.000 0.000
0.000 3.611 0.000
0.000 0.000 7.026
Ce Zr Hg
1 2 1
Cartesian
0.000 0.000 0.000
1.805 1.805 1.796
1.805 1.805 5.230
0.000 0.000 3.513
```

=====

[4]
Compound: CeZr2Hg
Source: the Alexandria database
Functional: PBE
Structure: relaxed

Output
volume = 91 Å³ per cell
ΔE_f = 0.0779 eV per atom
distance to the lowest polymorph of the same formula = 0.1287 eV per atom

The structure in POSCAR format:
```
CeZr2Hg
1.0
0.000 3.567 3.567
3.567 0.000 3.567
3.567 3.567 0.000
Ce Zr Hg
1 2 1
Cartesian
0.000 0.000 0.000
1.784 1.784 1.784
5.351 5.351 5.351
3.567 3.567 3.567
```

=====

[5]
Compound: CeZr2Hg
Source: the Alexandria database
Functional: PBE
Structure: relaxed

Output
volume = 94 Å³ per cell
ΔE_f = -0.0508 eV per atom
distance to the lowest polymorph of the same formula = 0.0000 eV per atom

The structure in POSCAR format:
```
CeZr2Hg
1.0
4.672 0.000 0.000
0.000 4.672 0.000
0.000 0.000 4.286
Ce Zr Hg
1 2 1
Cartesian
0.000 0.000 0.000
0.000 2.336 2.143
2.336 0.000 2.143
2.336 2.336 0.000
```

=====

[6]
Compound: CeZrHg
Source: the Alexandria database
Functional: PBE
Structure: relaxed

Output
volume = 73 Å³ per cell
ΔE_f = -0.1148 eV per atom
distance to the lowest polymorph of the same formula = 0.0000 eV per atom

The structure in POSCAR format:
```
CeZrHg
1.0
-1.600 1.600 7.144
1.600 -1.600 7.144
1.600 1.600 -7.144
Ce Zr Hg
1 1 1
Cartesian
0.000 0.000 0.000
0.000 0.000 4.665
0.000 0.000 9.645
```

=====

[7]
Compound: CeZrHg
Source: the Alexandria database
Functional: PBE
Structure: relaxed

Output
volume = 71 Å³ per cell
ΔE_f = 0.1033 eV per atom
distance to the lowest polymorph of the same formula = 0.2181 eV per atom

The structure in POSCAR format:
```
CeZrHg
1.0
5.150 0.000 0.000
-2.575 4.460 0.000
0.000 0.000 3.071
Ce Zr Hg
1 1 1
Cartesian
0.000 0.000 0.000
2.575 1.487 0.012
0.000 2.974 1.539
```

=====

[8]
Compound: CeZrHg6
Source: the Alexandria database
Functional: PBE
Structure: relaxed

Output
volume = 194 Å³ per cell
ΔE_f = -0.1286 eV per atom

The structure in POSCAR format:
```
CeZrHg6
1.0
4.752 0.000 0.000
0.000 4.752 0.000
0.000 0.000 8.607
Ce Zr Hg
1 1 6
Cartesian
0.000 0.000 0.000
0.000 0.000 4.304
0.000 2.376 2.299
0.000 2.376 6.308
2.376 0.000 2.299
2.376 0.000 6.308
2.376 2.376 0.000
2.376 2.376 4.304
```

=====

[9]
Compound: CeHo4
Source: the Alexandria database
Functional: PBE
Structure: relaxed

Output
volume = 166 Å³ per cell
ΔE_f = 0.6270 eV per atom
distance to the lowest polymorph of the same formula = 0.5635 eV per atom

The structure in POSCAR format:
```
CeHo4
1.0
5.501 0.000 0.000
0.000 5.501 0.000
0.000 0.000 5.501
Ce Ho
1 4
Cartesian
0.000 0.000 0.000
0.000 0.000 2.751
0.000 2.751 0.000
2.751 0.000 0.000
2.751 2.751 2.751
```

=====

[10]
Compound: CeHo5
Source: the Alexandria database
Functional: PBE
Structure: relaxed

Output
volume = 186 Å³ per cell
ΔE_f = 0.0539 eV per atom
distance to the lowest polymorph of the same formula = 0.0044 eV per atom

The structure in POSCAR format:
```
CeHo5
1.0
2.495 -7.475 0.000
2.495 7.475 0.000
0.000 0.000 4.980
Ce Ho
1 5
Cartesian
0.000 0.000 0.000
2.495 5.014 2.490
2.495 2.497 0.000
2.495 0.000 2.490
2.495 -2.497 0.000
2.495 -5.014 2.490
```

=====

[11]
Compound: Ce4Ho
Source: the Alexandria database
Functional: PBE
Structure: relaxed

Output
volume = 181 Å³ per cell
ΔE_f = 0.8510 eV per atom

The structure in POSCAR format:
```
Ce4Ho
1.0
5.661 0.000 0.000
0.000 5.661 0.000
0.000 0.000 5.661
Ce Ho
4 1
Cartesian
0.000 0.000 0.000
0.000 2.831 2.831
2.831 0.000 2.831
2.831 2.831 0.000
2.831 2.831 2.831
```

=====

[12]
Compound: CeHo8
Source: the Alexandria database
Functional: PBE
Structure: relaxed

Output
volume = 279 Å³ per cell
ΔE_f = 0.0420 eV per atom

The structure in POSCAR format:
```
CeHo8
1.0
-5.284 5.284 2.497
5.284 -5.284 2.497
5.284 5.284 -2.497
Ce Ho
1 8
Cartesian
0.000 0.000 0.000
3.518 0.000 0.000
7.050 0.000 0.000
0.000 3.518 0.000
3.534 3.534 0.000
1.749 -1.749 2.497
-1.749 1.749 2.497
1.749 1.749 2.497
0.000 7.050 0.000
```